Entry 1:
Below is AsOsRh at its PBEsol-relaxed geometry, with properties calculated at the meta-GGA SCAN level.

Summary:
E_tot (eV per atom): -41.370
Energy of formation from the pure elements (eV/atom): 0.577
Total moment (μB/cell): 0.85

a b c (Å): 4.133 4.133 4.133
angles (deg): 60.00 60.00 60.00
Positions (direct):
As (0.000, 0.000, 0.000)
Os (0.500, 0.500, 0.500)
Rh (0.750, 0.750, 0.750)



Entry 2:
Below is TlAgBiPt2 at its PBEsol-relaxed geometry, with properties calculated at the meta-GGA SCAN level.

Summary:
E_tot (eV per atom): -63.610
Energy of formation from the pure elements (eV/atom): 0.929
Total moment (μB/cell): 0.00

a b c (Å): 5.004 5.004 4.953
angles (deg): 90.00 90.00 90.00
Positions (direct):
Tl (0.000, 0.000, 0.000)
Ag (0.000, 0.000, 0.500)
Bi (0.500, 0.500, 0.500)
Pt (0.000, 0.500, 0.000)
Pt (0.500, 0.000, 0.000)



Entry 3:
Below is Hf2CuIr at its PBEsol-relaxed geometry, with properties calculated at the meta-GGA SCAN level.

Summary:
E_tot (eV per atom): -53.630
Energy of formation from the pure elements (eV/atom): -0.718
Total moment (μB/cell): 0.00

a b c (Å): 4.554 4.554 4.554
angles (deg): 60.00 60.00 60.00
Positions (direct):
Hf (0.250, 0.250, 0.250)
Hf (0.750, 0.750, 0.750)
Cu (0.000, 0.000, 0.000)
Ir (0.500, 0.500, 0.500)



Entry 4:
Below is InTe2As at its PBEsol-relaxed geometry, with properties calculated at the meta-GGA SCAN level.

Summary:
E_tot (eV per atom): -31.891
Energy above the most stable polymorph in this dataset (eV per formula unit): 0.55
Formation energy (no corrections) (eV per atom): 0.128
Total moment (μB/cell): 0.00

a b c (Å): 9.096 9.096 9.096
angles (deg): 143.27 143.27 52.93
Positions (direct):
In (0.000, 0.000, 0.000)
In (0.750, 0.250, 0.500)
Te (0.154, 0.625, 0.029)
Te (0.375, 0.404, 0.529)
Te (0.596, 0.125, 0.971)
Te (0.875, 0.846, 0.471)
As (0.250, 0.750, 0.500)
As (0.500, 0.500, 0.000)



- The highest total moment belongs to which entry?
  AsOsRh